## PrSiAu2 (PBE-GGA)

Data for an optimized crystal structure of PrSiAu2.

Output
The calculation puts the uncorrected energy at -4.706 eV per atom. As for the total magnetic moment: 0.00 μB/f.u. The formation energy from raw total energies comes out at -0.516 eV per atom.

a b c (Å): 5.947 5.947 5.947
angles (deg): 42.82 42.82 42.82
Atoms (fractional coordinates):
Pr: 0.000 0.000 0.000
Si: 0.500 0.500 0.500
Au: 0.219 0.219 0.219
Au: 0.781 0.781 0.781